Record 1
Here is an optimized crystal structure of LiAg3C from the Alexandria database. Energies are from PBE.

Results
E_form in eV per atom: 1.637
Space group: Pm-3m
Energy above the most stable polymorph in this dataset in meV per atom: 1155.3
V in Å³/cell: 87.1

abc: 4.4327 4.4327 4.4327
angles: 90.00 90.00 90.00
Sites, in units of the cell vectors:
Li: 0.0000 0.0000 0.0000
Ag: 0.0000 0.0000 0.5000
Ag: 0.0000 0.5000 0.0000
Ag: 0.5000 0.0000 0.0000
C: 0.5000 0.5000 0.5000

=====

Record 2
Here is an optimized crystal structure of LiAg2C2 from the Alexandria database. Energies are from PBE.

Results
E_form in eV per atom: 0.593
Space group: P4/mbm
Energy above the most stable polymorph in this dataset in meV per atom: 0.0
V in Å³/cell: 136.1

abc: 5.7282 5.7282 4.1465
angles: 90.00 90.00 90.00
Sites, in units of the cell vectors:
Li: 0.0000 0.0000 0.0000
Li: 0.5000 0.5000 0.0000
Ag: 0.1844 0.3156 0.5000
Ag: 0.3156 0.8156 0.5000
Ag: 0.6844 0.1844 0.5000
Ag: 0.8156 0.6844 0.5000
C: 0.0801 0.4199 0.0000
C: 0.4199 0.9199 0.0000
C: 0.5801 0.0801 0.0000
C: 0.9199 0.5801 0.0000

=====

Record 3
Here is an optimized crystal structure of LiAg2C2 from the Alexandria database. Energies are from PBE.

Results
E_form in eV per atom: 0.711
Space group: I4/mmm
Energy above the most stable polymorph in this dataset in meV per atom: 118.6
V in Å³/cell: 66.0

abc: 5.2029 5.2029 5.2029
angles: 136.45 136.45 63.28
Sites, in units of the cell vectors:
Li: 0.0000 0.0000 0.0000
Ag: 0.2500 0.7500 0.5000
Ag: 0.7500 0.2500 0.5000
C: 0.4259 0.4259 0.0000
C: 0.5741 0.5741 0.0000

=====

Record 4
Here is an optimized crystal structure of LiAgC3 from the Alexandria database. Energies are from PBE.

Results
E_form in eV per atom: 2.993
Space group: Pm-3m
Energy above the most stable polymorph in this dataset in meV per atom: 105.4
V in Å³/cell: 73.6

abc: 4.1905 4.1905 4.1905
angles: 90.00 90.00 90.00
Sites, in units of the cell vectors:
Li: 0.0000 0.0000 0.0000
Ag: 0.5000 0.5000 0.5000
C: 0.0000 0.5000 0.5000
C: 0.5000 0.0000 0.5000
C: 0.5000 0.5000 0.0000

=====

Record 5
Here is an optimized crystal structure of LiNi2AgC from the Alexandria database. Energies are from PBE.

Results
E_form in eV per atom: 0.052
Space group: P4/mmm
V in Å³/cell: 58.0

abc: 3.7151 3.7151 4.2052
angles: 90.00 90.00 90.00
Sites, in units of the cell vectors:
Li: 0.0000 0.0000 0.0000
Ni: 0.0000 0.5000 0.5000
Ni: 0.5000 0.0000 0.5000
Ag: 0.5000 0.5000 0.0000
C: 0.0000 0.0000 0.5000

=====

Record 6
Here is an optimized crystal structure of Li2AgC2O6 from the Alexandria database. Energies are from PBE.

Results
Space group: P-1
V in Å³/cell: 129.1
Formation energy from raw total energies in eV/atom: -1.401

abc: 4.8350 5.0431 6.0993
angles: 78.59 83.37 62.40
Sites, in units of the cell vectors:
Li: 0.2019 0.0482 0.3473
Li: 0.7981 0.9518 0.6527
Ag: 0.5000 0.5000 0.0000
C: 0.1427 0.2840 0.7456
C: 0.8573 0.7160 0.2544
O: 0.1038 0.4711 0.2163
O: 0.1291 0.0641 0.6790
O: 0.4181 0.2601 0.7720
O: 0.5819 0.7399 0.2280
O: 0.8709 0.9359 0.3210
O: 0.8962 0.5289 0.7837

=====

Record 7
Here is an optimized crystal structure of LiAg2C2O6 from the Alexandria database. Energies are from PBE.

Results
Space group: C2/m
V in Å³/cell: 131.4
Formation energy from raw total energies in eV/atom: -1.045

abc: 4.7887 4.7887 6.7791
angles: 109.71 109.71 67.66
Sites, in units of the cell vectors:
Li: 0.0000 0.0000 0.0000
Ag: 0.1864 0.1864 0.6976
Ag: 0.8136 0.8136 0.3024
C: 0.4364 0.4364 0.2229
C: 0.5636 0.5636 0.7771
O: 0.2590 0.6773 0.7280
O: 0.2633 0.2633 0.1304
O: 0.3227 0.7410 0.2720
O: 0.6773 0.2590 0.7280
O: 0.7367 0.7367 0.8696
O: 0.7410 0.3227 0.2720

=====

Record 8
Here is an optimized crystal structure of LiAgC2O6 from the Alexandria database. Energies are from PBE.

Results
Space group: R-3
V in Å³/cell: 106.8
Formation energy from raw total energies in eV/atom: -1.117

abc: 5.9655 5.9655 5.9655
angles: 47.83 47.83 47.83
Sites, in units of the cell vectors:
Li: 0.0000 0.0000 0.0000
Ag: 0.5000 0.5000 0.5000
C: 0.2494 0.2494 0.2494
C: 0.7506 0.7506 0.7506
O: 0.0085 0.4749 0.7668
O: 0.2332 0.9915 0.5251
O: 0.4749 0.7668 0.0085
O: 0.5251 0.2332 0.9915
O: 0.7668 0.0085 0.4749
O: 0.9915 0.5251 0.2332

=====

Record 9
Here is an optimized crystal structure of Li2AgRhC from the Alexandria database. Energies are from PBE.

Results
E_form in eV per atom: 0.037
Space group: P4/mmm
V in Å³/cell: 66.8

abc: 4.1575 4.1575 3.8652
angles: 90.00 90.00 90.00
Sites, in units of the cell vectors:
Li: 0.0000 0.5000 0.0000
Li: 0.5000 0.0000 0.0000
Ag: 0.0000 0.0000 0.5000
Rh: 0.5000 0.5000 0.5000
C: 0.5000 0.5000 0.0000

=====

Record 10
Here is an optimized crystal structure of LiAgRh2C from the Alexandria database. Energies are from PBE.

Results
E_form in eV per atom: 0.003
Space group: P4/mmm
V in Å³/cell: 68.3

abc: 3.9786 3.9786 4.3163
angles: 90.00 90.00 90.00
Sites, in units of the cell vectors:
Li: 0.0000 0.0000 0.0000
Ag: 0.5000 0.5000 0.0000
Rh: 0.0000 0.5000 0.5000
Rh: 0.5000 0.0000 0.5000
C: 0.0000 0.0000 0.5000

=====

Record 11
Here is an optimized crystal structure of LiAgSbC2 from the Alexandria database. Energies are from PBE.

Results
Space group: P4/mmm
V in Å³/cell: 94.2
Formation energy from raw total energies in eV/atom: 2.033

abc: 4.3241 4.3241 5.0368
angles: 90.00 90.00 90.00
Sites, in units of the cell vectors:
Li: 0.0000 0.0000 0.0000
Ag: 0.5000 0.5000 0.0000
Sb: 0.0000 0.0000 0.5000
C: 0.0000 0.5000 0.5000
C: 0.5000 0.0000 0.5000

=====

Record 12
Here is an optimized crystal structure of LiSc2AgC from the Alexandria database. Energies are from PBE.

Results
E_form in eV per atom: -0.199
Space group: P4/mmm
V in Å³/cell: 85.4

abc: 4.5106 4.5106 4.1984
angles: 90.00 90.00 90.00
Sites, in units of the cell vectors:
Li: 0.0000 0.0000 0.0000
Sc: 0.0000 0.5000 0.5000
Sc: 0.5000 0.0000 0.5000
Ag: 0.5000 0.5000 0.0000
C: 0.0000 0.0000 0.5000

=====

Record 13
Here is an optimized crystal structure of LiAg2TeC from the Alexandria database. Energies are from PBE.

Results
Space group: P4/mmm
V in Å³/cell: 88.7
Formation energy from raw total energies in eV/atom: 0.595

abc: 4.3839 4.3839 4.6174
angles: 90.00 90.00 90.00
Sites, in units of the cell vectors:
Li: 0.0000 0.0000 0.0000
Ag: 0.0000 0.5000 0.5000
Ag: 0.5000 0.0000 0.5000
Te: 0.5000 0.5000 0.0000
C: 0.0000 0.0000 0.5000

=====

Record 14
Here is an optimized crystal structure of Li2AgWC from the Alexandria database. Energies are from PBE.

Results
E_form in eV per atom: 2.803
Space group: P4/mmm
V in Å³/cell: 152.6

abc: 5.3612 5.3612 5.3076
angles: 90.00 90.00 90.00
Sites, in units of the cell vectors:
Li: 0.0000 0.5000 0.0000
Li: 0.5000 0.0000 0.0000
Ag: 0.0000 0.0000 0.5000
W: 0.0000 0.0000 0.0000
C: 0.5000 0.5000 0.5000

=====

Record 15
Here is an optimized crystal structure of Li2YAgC from the Alexandria database. Energies are from PBE.

Results
E_form in eV per atom: 2.271
Space group: P4/mmm
Energy above the most stable polymorph in this dataset in meV per atom: 1599.1
V in Å³/cell: 218.2

abc: 6.2112 6.2112 5.6551
angles: 90.00 90.00 90.00
Sites, in units of the cell vectors:
Li: 0.0000 0.5000 0.0000
Li: 0.5000 0.0000 0.0000
Y: 0.0000 0.0000 0.0000
Ag: 0.0000 0.0000 0.5000
C: 0.5000 0.5000 0.5000

=====

Record 16
Here is an optimized crystal structure of Li2YAgC from the Alexandria database. Energies are from PBE.

Results
E_form in eV per atom: 0.672
Space group: P4/mmm
Energy above the most stable polymorph in this dataset in meV per atom: 0.0
V in Å³/cell: 84.7

abc: 4.4889 4.4889 4.2030
angles: 90.00 90.00 90.00
Sites, in units of the cell vectors:
Li: 0.0000 0.5000 0.0000
Li: 0.5000 0.0000 0.0000
Y: 0.0000 0.0000 0.5000
Ag: 0.5000 0.5000 0.0000
C: 0.5000 0.5000 0.5000

=====

Record 17
Here is an optimized crystal structure of Li2ZrAgC from the Alexandria database. Energies are from PBE.

Results
E_form in eV per atom: 1.199
Space group: P4/mmm
V in Å³/cell: 123.6

abc: 5.5825 5.5825 3.9662
angles: 90.00 90.00 90.00
Sites, in units of the cell vectors:
Li: 0.0000 0.5000 0.0000
Li: 0.5000 0.0000 0.0000
Zr: 0.0000 0.0000 0.0000
Ag: 0.5000 0.5000 0.5000
C: 0.0000 0.0000 0.5000

=====

Record 18
Here is an optimized crystal structure of Lu4Ag2C from the Alexandria database. Energies are from PBE.

Results
E_form in eV per atom: -0.215
Space group: I4/mmm
V in Å³/cell: 161.6

abc: 7.9696 7.9696 7.9696
angles: 145.51 145.51 49.58
Sites, in units of the cell vectors:
Lu: 0.0000 0.5000 0.5000
Lu: 0.1681 0.1681 0.0000
Lu: 0.5000 0.0000 0.5000
Lu: 0.8319 0.8319 0.0000
Ag: 0.3667 0.3667 0.0000
Ag: 0.6333 0.6333 0.0000
C: 0.0000 0.0000 0.0000

=====

Record 19
Here is an optimized crystal structure of MgAg3C from the Alexandria database. Energies are from PBE.

Results
E_form in eV per atom: 1.922
Space group: Pm-3m
Energy above the most stable polymorph in this dataset in meV per atom: 1322.6
V in Å³/cell: 120.9

abc: 4.9450 4.9450 4.9450
angles: 90.00 90.00 90.00
Sites, in units of the cell vectors:
Mg: 0.0000 0.0000 0.0000
Ag: 0.0000 0.0000 0.5000
Ag: 0.0000 0.5000 0.0000
Ag: 0.5000 0.0000 0.0000
C: 0.5000 0.5000 0.5000

=====

Record 20
Here is an optimized crystal structure of Mg3AgC from the Alexandria database. Energies are from PBE.

Results
E_form in eV per atom: 0.120
Space group: Pm-3m
Energy above the most stable polymorph in this dataset in meV per atom: 0.0
V in Å³/cell: 85.5

abc: 4.4056 4.4056 4.4056
angles: 90.00 90.00 90.00
Sites, in units of the cell vectors:
Mg: 0.0000 0.0000 0.5000
Mg: 0.0000 0.5000 0.0000
Mg: 0.5000 0.0000 0.0000
Ag: 0.5000 0.5000 0.5000
C: 0.0000 0.0000 0.0000

=====

Record 21
Here is an optimized crystal structure of Mg2AgC from the Alexandria database. Energies are from PBE.

Results
E_form in eV per atom: 0.535
Space group: I-42d
V in Å³/cell: 148.8

abc: 6.2244 6.2244 6.2244
angles: 97.13 97.13 138.74
Sites, in units of the cell vectors:
Mg: 0.3750 0.0402 0.1652
Mg: 0.7902 0.6250 0.6652
Mg: 0.8750 0.2098 0.8348
Mg: 0.9598 0.1250 0.3348
Ag: 0.2500 0.7500 0.5000
Ag: 0.5000 0.5000 0.0000
C: 0.0000 0.0000 0.0000
C: 0.7500 0.2500 0.5000

=====

Record 22
Here is an optimized crystal structure of MgAg3C from the Alexandria database. Energies are from PBE.

Results
E_form in eV per atom: 0.599
Space group: Pm-3m
Energy above the most stable polymorph in this dataset in meV per atom: 0.0
V in Å³/cell: 83.5

abc: 4.3700 4.3700 4.3700
angles: 90.00 90.00 90.00
Sites, in units of the cell vectors:
Mg: 0.0000 0.0000 0.0000
Ag: 0.0000 0.5000 0.5000
Ag: 0.5000 0.0000 0.5000
Ag: 0.5000 0.5000 0.0000
C: 0.5000 0.5000 0.5000

=====

Record 23
Here is an optimized crystal structure of Mg3AgC from the Alexandria database. Energies are from PBE.

Results
E_form in eV per atom: 1.378
Space group: Pm-3m
Energy above the most stable polymorph in this dataset in meV per atom: 1258.2
V in Å³/cell: 128.4

abc: 5.0445 5.0445 5.0445
angles: 90.00 90.00 90.00
Sites, in units of the cell vectors:
Mg: 0.0000 0.0000 0.5000
Mg: 0.0000 0.5000 0.0000
Mg: 0.5000 0.0000 0.0000
Ag: 0.0000 0.0000 0.0000
C: 0.5000 0.5000 0.5000

=====

Record 24
Here is an optimized crystal structure of Mg2AgMoC from the Alexandria database. Energies are from PBE.

Results
E_form in eV per atom: 2.517
Space group: P4/mmm
V in Å³/cell: 135.9

abc: 5.2473 5.2473 4.9373
angles: 90.00 90.00 90.00
Sites, in units of the cell vectors:
Mg: 0.0000 0.5000 0.0000
Mg: 0.5000 0.0000 0.0000
Ag: 0.0000 0.0000 0.5000
Mo: 0.0000 0.0000 0.0000
C: 0.5000 0.5000 0.5000

=====

Record 25
Here is an optimized crystal structure of MgNiAgC2 from the Alexandria database. Energies are from PBE.

Results
E_form in eV per atom: 2.389
Space group: P4/mmm
V in Å³/cell: 81.2

abc: 4.0457 4.0457 4.9599
angles: 90.00 90.00 90.00
Sites, in units of the cell vectors:
Mg: 0.0000 0.0000 0.0000
Ni: 0.5000 0.5000 0.0000
Ag: 0.0000 0.0000 0.5000
C: 0.0000 0.5000 0.5000
C: 0.5000 0.0000 0.5000

=====

Record 26
Here is an optimized crystal structure of Mg2NiAgC from the Alexandria database. Energies are from PBE.

Results
E_form in eV per atom: 0.044
Space group: P4/mmm
V in Å³/cell: 74.3

abc: 4.5218 4.5218 3.6344
angles: 90.00 90.00 90.00
Sites, in units of the cell vectors:
Mg: 0.0000 0.5000 0.0000
Mg: 0.5000 0.0000 0.0000
Ni: 0.0000 0.0000 0.5000
Ag: 0.5000 0.5000 0.5000
C: 0.0000 0.0000 0.0000

=====

Record 27
Here is an optimized crystal structure of MgAg2C2O6 from the Alexandria database. Energies are from PBE.

Results
Space group: C2/m
V in Å³/cell: 128.8
Formation energy from raw total energies in eV/atom: -1.264

abc: 5.0888 5.0888 6.6158
angles: 115.87 115.87 60.57
Sites, in units of the cell vectors:
Mg: 0.0000 0.0000 0.0000
Ag: 0.1894 0.1894 0.6366
Ag: 0.8106 0.8106 0.3634
C: 0.4312 0.4312 0.2172
C: 0.5688 0.5688 0.7828
O: 0.2658 0.7022 0.7592
O: 0.2744 0.2744 0.1817
O: 0.2978 0.7342 0.2408
O: 0.7022 0.2658 0.7592
O: 0.7256 0.7256 0.8183
O: 0.7342 0.2978 0.2408